Density functional theory data (GGA-PBEsol) for crystalline Ti2SCl12 at its relaxed geometry.

Results
As for the calculated volume: 2316.8 Å³ per cell. For the formation energy without anion corrections, the calculation gives -1.10 eV per atom. For the raw total energy, the calculation gives -4.11 eV/atom. The mass density comes out at 2.4 g/cm3.

Lattice parameters (Å, degrees): 13.7062 13.7062 13.7062 103.55 103.55 103.55
Fractional positions:
Ti 0.1442 0.9826 0.3214
Ti 0.8558 0.0174 0.6786
Ti 0.8253 0.4888 0.6510
Ti 0.4888 0.6510 0.8253
Ti 0.3490 0.1747 0.5112
Ti 0.1747 0.5112 0.3490
Ti 0.3214 0.1442 0.9826
Ti 0.0174 0.6786 0.8558
Ti 0.5112 0.3490 0.1747
Ti 0.9826 0.3214 0.1442
Ti 0.6786 0.8558 0.0174
Ti 0.6510 0.8253 0.4888
S 0.8401 0.1706 0.4563
S 0.8294 0.5437 0.1599
S 0.5437 0.1599 0.8294
S 0.1599 0.8294 0.5437
S 0.1706 0.4563 0.8401
S 0.4563 0.8401 0.1706
Cl 0.0464 0.3531 0.8513
Cl 0.8177 0.3199 0.6370
Cl 0.1185 0.3175 0.2922
Cl 0.1441 0.7929 0.8296
Cl 0.5357 0.7091 0.0273
Cl 0.4896 0.4912 0.8314
Cl 0.2868 0.4579 0.9623
Cl 0.4643 0.2909 0.9727
Cl 0.9729 0.7881 0.9683
Cl 0.1215 0.6242 0.9731
Cl 0.9727 0.4643 0.2909
Cl 0.2922 0.1185 0.3175
Cl 0.0273 0.5357 0.7091
Cl 0.7929 0.8296 0.1441
Cl 0.1997 0.3670 0.7174
Cl 0.6324 0.6593 0.4738
Cl 0.3758 0.0269 0.8785
Cl 0.5421 0.0377 0.7132
Cl 0.9683 0.9729 0.7881
Cl 0.5104 0.5088 0.1686
Cl 0.6330 0.2826 0.8003
Cl 0.2826 0.8003 0.6330
Cl 0.3670 0.7174 0.1997
Cl 0.4724 0.1576 0.1330
Cl 0.3630 0.1823 0.6801
Cl 0.2119 0.0317 0.0271
Cl 0.1686 0.5104 0.5088
Cl 0.6242 0.9731 0.1215
Cl 0.5276 0.8424 0.8670
Cl 0.3676 0.3407 0.5262
Cl 0.9623 0.2868 0.4579
Cl 0.7174 0.1997 0.3670
Cl 0.7881 0.9683 0.9729
Cl 0.1704 0.8559 0.2071
Cl 0.8785 0.3758 0.0269
Cl 0.3199 0.6370 0.8177
Cl 0.7078 0.8815 0.6825
Cl 0.6370 0.8177 0.3199
Cl 0.8314 0.4896 0.4912
Cl 0.4912 0.8314 0.4896
Cl 0.1823 0.6801 0.3630
Cl 0.4579 0.9623 0.2868
Cl 0.8815 0.6825 0.7078
Cl 0.6825 0.7078 0.8815
Cl 0.8424 0.8670 0.5276
Cl 0.5262 0.3676 0.3407
Cl 0.2909 0.9727 0.4643
Cl 0.4738 0.6324 0.6593
Cl 0.2071 0.1704 0.8559
Cl 0.6593 0.4738 0.6324
Cl 0.3407 0.5262 0.3676
Cl 0.8296 0.1441 0.7929
Cl 0.0269 0.8785 0.3758
Cl 0.1487 0.9536 0.6469
Cl 0.8559 0.2071 0.1704
Cl 0.7132 0.5421 0.0377
Cl 0.0317 0.0271 0.2119
Cl 0.3175 0.2922 0.1185
Cl 0.3531 0.8513 0.0464
Cl 0.6801 0.3630 0.1823
Cl 0.9731 0.1215 0.6242
Cl 0.0271 0.2119 0.0317
Cl 0.8003 0.6330 0.2826
Cl 0.9536 0.6469 0.1487
Cl 0.0377 0.7132 0.5421
Cl 0.7091 0.0273 0.5357
Cl 0.8670 0.5276 0.8424
Cl 0.1330 0.4724 0.1576
Cl 0.1576 0.1330 0.4724
Cl 0.6469 0.1487 0.9536
Cl 0.5088 0.1686 0.5104
Cl 0.8513 0.0464 0.3531

Density functional theory data (GGA-PBEsol) for crystalline TiZnS2Cl at its relaxed geometry.

Results
As for the calculated volume: 97.2 Å³ per cell. For the formation energy without anion corrections, the calculation gives 0.01 eV per atom. For the raw total energy, the calculation gives -4.13 eV/atom. The mass density comes out at 3.6 g/cm3.

Lattice parameters (Å, degrees): 4.5961 4.5988 4.5988 90.00 90.00 90.00
Each line ends with the local moment (μB).
Fractional positions:
Zn 0.0000 0.0000 0.0000  0.01
Cl 0.5000 0.0000 0.0000  -0.05
S 0.0000 0.0000 0.5000  -0.13
S 0.0000 0.5000 0.0000  -0.13
Ti 0.5000 0.5000 0.5000  1.54

Density functional theory data (GGA-PBEsol) for crystalline ZrTiSCl2 at its relaxed geometry.

Results
As for the calculated volume: 100.2 Å³ per cell. For the formation energy without anion corrections, the calculation gives -0.51 eV per atom. For the raw total energy, the calculation gives -5.68 eV/atom. The mass density comes out at 4.0 g/cm3.

Lattice parameters (Å, degrees): 4.5821 4.5821 4.7719 90.00 90.00 90.00
Each line ends with the local moment (μB).
Fractional positions:
S 0.0000 0.0000 0.5000  -0.04
Cl 0.0000 0.5000 0.0000  0.00
Cl 0.5000 0.0000 0.0000  0.00
Zr 0.5000 0.5000 0.5000  1.39
Ti 0.0000 0.0000 0.0000  0.17

Density functional theory data (GGA-PBEsol) for crystalline TlSCl3 at its relaxed geometry.

Results
As for the calculated volume: 118.6 Å³ per cell. For the formation energy without anion corrections, the calculation gives -0.34 eV per atom. For the raw total energy, the calculation gives -2.95 eV/atom. The mass density comes out at 4.8 g/cm3.

Lattice parameters (Å, degrees): 4.9128 4.9128 4.9128 90.00 90.00 90.00
Fractional positions:
Tl 0.5000 0.5000 0.5000
S 0.0000 0.0000 0.0000
Cl 0.0000 0.5000 0.0000
Cl 0.0000 0.0000 0.5000
Cl 0.5000 0.0000 0.0000

Density functional theory data (GGA-PBEsol) for crystalline Tl3SCl at its relaxed geometry.

Results
As for the calculated volume: 179.1 Å³ per cell. For the formation energy without anion corrections, the calculation gives 0.02 eV per atom. For the raw total energy, the calculation gives -2.83 eV/atom. The mass density comes out at 6.3 g/cm3.

Lattice parameters (Å, degrees): 5.6370 5.6370 5.6370 90.00 90.00 90.00
Fractional positions:
Tl 0.0000 0.5000 0.0000
Tl 0.0000 0.0000 0.5000
Tl 0.5000 0.0000 0.0000
S 0.5000 0.5000 0.5000
Cl 0.0000 0.0000 0.0000

Density functional theory data (GGA-PBEsol) for crystalline ZrTlSCl2 at its relaxed geometry.

Results
As for the calculated volume: 124.3 Å³ per cell. For the formation energy without anion corrections, the calculation gives -1.20 eV per atom. For the raw total energy, the calculation gives -5.23 eV/atom. The mass density comes out at 5.3 g/cm3.

Lattice parameters (Å, degrees): 4.9708 4.9999 4.9999 90.00 90.00 90.00
Fractional positions:
Tl 0.5000 0.5000 0.5000
S 0.5000 0.0000 0.0000
Zr 0.0000 0.0000 0.0000
Cl 0.0000 0.0000 0.5000
Cl 0.0000 0.5000 0.0000

Density functional theory data (GGA-PBEsol) for crystalline ZrWSCl2 at its relaxed geometry.

Results
As for the calculated volume: 101.2 Å³ per cell. For the formation energy without anion corrections, the calculation gives 0.37 eV per atom. For the raw total energy, the calculation gives -5.89 eV/atom. The mass density comes out at 6.2 g/cm3.

Lattice parameters (Å, degrees): 4.6371 4.6717 4.6717 90.00 90.00 90.00
Each line ends with the local moment (μB).
Fractional positions:
S 0.5000 0.0000 0.0000  -0.03
Zr 0.5000 0.5000 0.5000  1.38
W 0.0000 0.0000 0.0000  0.06
Cl 0.0000 0.0000 0.5000  -0.01
Cl 0.0000 0.5000 0.0000  -0.01

Density functional theory data (GGA-PBEsol) for crystalline SbCl3 at its relaxed geometry.

Results
As for the calculated volume: 79.1 Å³ per cell. For the formation energy without anion corrections, the calculation gives -0.33 eV per atom. For the raw total energy, the calculation gives -2.98 eV/atom. The mass density comes out at 4.8 g/cm3.

Lattice parameters (Å, degrees): 4.4897 5.0495 4.4897 116.40 90.00 116.40
Fractional positions:
Sb 0.0000 0.0000 0.0000
Cl 0.7500 0.5000 0.2500
Cl 0.5000 0.0000 0.5000
Cl 0.2500 0.5000 0.7500

Density functional theory data (GGA-PBEsol) for crystalline SbCl3 at its relaxed geometry.

Results
As for the calculated volume: 159.5 Å³ per cell. For the formation energy without anion corrections, the calculation gives -0.24 eV per atom. For the raw total energy, the calculation gives -2.89 eV/atom. The mass density comes out at 4.8 g/cm3.

Lattice parameters (Å, degrees): 4.3997 4.3997 8.8071 104.46 104.46 90.00
Fractional positions:
Cl 0.0000 0.5000 0.0000
Cl 0.5000 0.0000 0.0000
Cl 0.7500 0.2500 0.5000
Cl 0.2500 0.7500 0.5000
Cl 0.8704 0.8704 0.7408
Cl 0.1296 0.1296 0.2592
Sb 0.6295 0.6295 0.2591
Sb 0.3705 0.3705 0.7409

Density functional theory data (GGA-PBEsol) for crystalline SbCl3 at its relaxed geometry.

Results
As for the calculated volume: 81.9 Å³ per cell. For the formation energy without anion corrections, the calculation gives -0.22 eV per atom. For the raw total energy, the calculation gives -2.87 eV/atom. The mass density comes out at 4.6 g/cm3.

Lattice parameters (Å, degrees): 3.6454 3.6454 6.1596 90.00 90.00 90.00
Fractional positions:
Sb 0.5000 0.5000 0.5000
Cl 0.0000 0.0000 0.7349
Cl 0.5000 0.5000 0.0000
Cl 0.0000 0.0000 0.2651

Density functional theory data (GGA-PBEsol) for crystalline SbCl3 at its relaxed geometry.

Results
As for the calculated volume: 450.9 Å³ per cell. For the formation energy without anion corrections, the calculation gives -0.84 eV per atom. For the raw total energy, the calculation gives -3.48 eV/atom. The mass density comes out at 3.4 g/cm3.

Lattice parameters (Å, degrees): 6.4207 8.0388 8.7362 90.00 90.00 90.00
Fractional positions:
Cl 0.3385 0.0719 0.7500
Cl 0.8385 0.4281 0.2500
Cl 0.6615 0.9281 0.2500
Cl 0.1615 0.5719 0.7500
Cl 0.8654 0.1704 0.9388
Cl 0.3654 0.3296 0.0612
Cl 0.1346 0.8296 0.4388
Cl 0.6346 0.6704 0.5612
Cl 0.1346 0.8296 0.0612
Cl 0.6346 0.6704 0.9388
Cl 0.8654 0.1704 0.5612
Cl 0.3654 0.3296 0.4388
Sb 0.9911 0.9703 0.7500
Sb 0.4911 0.5297 0.2500
Sb 0.0089 0.0297 0.2500
Sb 0.5089 0.4703 0.7500

Density functional theory data (GGA-PBEsol) for crystalline SbCl3 at its relaxed geometry.

Results
As for the calculated volume: 80.4 Å³ per cell. For the formation energy without anion corrections, the calculation gives -0.15 eV per atom. For the raw total energy, the calculation gives -2.79 eV/atom. The mass density comes out at 4.7 g/cm3.

Lattice parameters (Å, degrees): 4.3155 4.3155 4.3155 90.00 90.00 90.00
Fractional positions:
Sb 0.0000 0.0000 0.0000
Cl 0.0000 0.5000 0.5000
Cl 0.5000 0.0000 0.5000
Cl 0.5000 0.5000 0.0000